DFT (PBE) results for a geometry-optimized Ho2LuHg5 structure.

```
Ho2LuHg5
1.0
5.0765 0.0000 0.0000
0.0000 3.5627 5.2733
0.0000 -3.5627 5.2733
Ho Lu Hg
2 1 5
direct
0.5000 0.6419 0.6419
0.0000 0.3343 0.3343
0.0000 0.8836 0.8836
0.5000 0.6462 0.1436
0.0000 0.8294 0.3775
0.5000 0.1436 0.6462
0.0000 0.3775 0.8294
0.5000 0.1435 0.1435
```

Properties
VASP energy, eV for the cell shown: -18.36
ΔE_f, eV/atom: -0.40
Space group: Amm2 (38)